DFT (PBE-GGA) results for CsTe3W after structural relaxation.

```
CsTe3W
1.0
-4.0423 2.1496 3.0284
-3.6528 -1.4937 -3.8156
-0.6701 -4.8250 2.5304
W Te Cs
1 3 1
Cartesian
0.0000 0.0000 0.0000
-1.8264 -0.7468 -1.9078
-0.3351 -2.4125 1.2652
-2.0212 1.0748 1.5142
-4.1826 -2.0845 0.8716
```

Computed properties:
The value obtained for the magnetization is 0.0 μB per formula unit. The calculation puts the volume at 33.08 A^3/atom. The space-group type is Pm-3m (221). The uncorrected formation energy comes out at 14 kJ/mol of formula units.